## ZnPbSe (PBE-GGA)

Data for a relaxed ZnPbSe crystal.

- distance to the lowest polymorph of the same formula (eV/atom) = 0.074
- E (eV per atom) = -3.05

Geometry as POSCAR:
```
ZnPbSe
1.0
3.944 0.000 0.000
-1.972 3.416 0.000
0.000 0.000 5.514
Zn Pb Se
1 1 1
Direct
0.333 0.667 0.614
0.000 0.000 0.987
0.667 0.333 0.399
```

***

## Zn2PbSe (PBE-GGA)

Data for a relaxed Zn2PbSe crystal.

- distance to the lowest polymorph of the same formula (eV/atom) = 0.083
- E (eV per atom) = -2.50

Geometry as POSCAR:
```
Zn2PbSe
1.0
-3.412 4.484 4.654
-5.406 1.132 4.786
-2.105 1.521 6.831
Zn Se Pb
2 1 1
Direct
0.001 0.001 0.001
0.265 0.265 0.265
0.731 0.731 0.731
0.502 0.502 0.502
```

***

## Zn4PbSe (PBE-GGA)

Data for a relaxed Zn4PbSe crystal.

- E (eV per atom) = -1.89

Geometry as POSCAR:
```
Zn4PbSe
1.0
4.047 2.510 2.750
-1.157 3.008 4.456
1.463 -1.798 4.987
Pb Zn Se
1 4 1
Direct
0.750 0.750 0.750
0.375 0.375 0.875
0.875 0.375 0.375
0.375 0.375 0.375
0.375 0.875 0.375
0.000 0.000 0.000
```

***

## Zn2PbSe (PBE-GGA)

Data for a relaxed Zn2PbSe crystal.

- distance to the lowest polymorph of the same formula (eV/atom) = 0.020
- E (eV per atom) = -2.56

Geometry as POSCAR:
```
Zn2PbSe
1.0
-6.737 1.600 -2.876
-7.084 -1.931 -1.519
-7.379 1.042 0.825
Se Zn Pb
1 2 1
Direct
0.750 0.750 0.750
0.013 0.013 0.013
0.487 0.487 0.487
0.250 0.250 0.250
```

***

## ZnPbSe2 (PBE-GGA)

Data for a relaxed ZnPbSe2 crystal.

- E (eV per atom) = -3.18

Geometry as POSCAR:
```
ZnPbSe2
1.0
-2.356 -3.482 -0.355
4.001 0.367 -1.288
2.464 -2.378 6.980
Pb Se Zn
1 2 1
Direct
0.500 0.500 0.750
0.000 0.000 0.036
0.000 0.000 0.464
0.500 0.500 0.250
```

***

## Zn2PbSe (PBE-GGA)

Data for a relaxed Zn2PbSe crystal.

- distance to the lowest polymorph of the same formula (eV/atom) = 0.054
- E (eV per atom) = -2.53

Geometry as POSCAR:
```
Zn2PbSe
1.0
3.568 0.007 0.000
-0.012 3.568 0.000
0.000 0.000 7.346
Zn Pb Se
2 1 1
Direct
0.000 0.000 0.994
0.500 0.500 0.204
0.000 0.000 0.435
0.500 0.500 0.867
```

***

## ZnPbSe2 (PBE-GGA)

Data for a relaxed ZnPbSe2 crystal.

- E (eV per atom) = -3.06

Geometry as POSCAR:
```
ZnPbSe2
1.0
-0.860 6.957 0.930
-3.707 -4.271 0.857
-0.686 -0.840 4.076
Se Zn Pb
2 1 1
Direct
0.000 0.000 0.000
0.500 0.000 0.500
0.000 0.500 0.500
0.500 0.500 0.000
```

***

## ZrZnPb2Se (PBE-GGA)

Data for a relaxed ZrZnPb2Se crystal.

- E (eV per atom) = -3.62

Geometry as POSCAR:
```
ZrZnPb2Se
1.0
5.993 0.000 0.000
0.000 5.386 0.000
0.000 0.000 5.993
Zn Pb Zr Se
1 2 1 1
Direct
0.500 0.500 0.500
0.500 0.000 0.000
0.000 0.000 0.500
0.000 0.500 0.000
0.000 0.000 0.000
```

***

## ZrPb3Se (PBE-GGA)

Data for a relaxed ZrPb3Se crystal.

- distance to the lowest polymorph of the same formula (eV/atom) = 0.000
- E (eV per atom) = -4.12

Geometry as POSCAR:
```
ZrPb3Se
1.0
5.696 0.000 0.000
0.000 5.696 0.000
0.000 0.000 5.696
Pb Zr Se
3 1 1
Direct
0.500 0.000 0.000
0.000 0.000 0.500
0.000 0.500 0.000
0.000 0.000 0.000
0.500 0.500 0.500
```

***

## ZrPbSe2 (PBE-GGA)

Data for a relaxed ZrPbSe2 crystal.

- E (eV per atom) = -5.49

Geometry as POSCAR:
```
ZrPbSe2
1.0
13.219 0.000 0.759
3.498 4.406 -1.555
-3.498 4.406 1.555
Se Zr Pb
4 2 2
Direct
0.170 0.215 0.521
0.827 0.206 0.887
0.670 0.979 0.285
0.327 0.613 0.294
0.725 0.822 0.827
0.225 0.673 0.678
0.795 0.281 0.338
0.295 0.162 0.219
```

***

## Zr2Pb2Se (PBE-GGA)

Data for a relaxed Zr2Pb2Se crystal.

- E (eV per atom) = -5.99

Geometry as POSCAR:
```
Zr2Pb2Se
1.0
-5.376 4.643 0.270
-4.521 -5.121 -1.966
-0.748 -1.138 4.684
Zr Pb Se
4 4 2
Direct
0.653 0.153 0.000
0.153 0.347 0.000
0.847 0.653 0.000
0.347 0.847 0.000
0.660 0.840 0.500
0.840 0.340 0.500
0.160 0.660 0.500
0.340 0.160 0.500
0.000 0.000 0.000
0.500 0.500 0.000
```

***

## ZrPbSe2 (PBE-GGA)

Data for a relaxed ZrPbSe2 crystal.

- E (eV per atom) = -5.63

Geometry as POSCAR:
```
ZrPbSe2
1.0
20.759 0.000 1.441
2.653 4.901 -4.263
-2.653 4.901 4.263
Pb Zr Se
8 8 16
Direct
0.096 0.110 0.094
0.596 0.406 0.390
0.103 0.090 0.622
0.397 0.122 0.590
0.904 0.890 0.906
0.897 0.910 0.378
0.404 0.594 0.610
0.603 0.878 0.410
0.818 0.405 0.542
0.169 0.609 0.936
0.669 0.564 0.891
0.831 0.391 0.064
0.318 0.958 0.095
0.682 0.042 0.905
0.331 0.436 0.109
0.182 0.595 0.458
0.250 0.277 0.777
0.933 0.284 0.897
0.759 0.712 0.754
0.566 0.924 0.797
0.067 0.716 0.103
0.741 0.254 0.212
0.241 0.288 0.246
0.750 0.723 0.223
0.934 0.297 0.424
0.750 0.233 0.733
0.434 0.076 0.203
0.066 0.703 0.576
0.433 0.603 0.216
0.250 0.767 0.267
0.259 0.746 0.788
0.567 0.397 0.784
```

***

Which of these has the lowest E? Zr2Pb2Se

***

Please write out number 5 again, unchanged.
## ZnPbSe2 (PBE-GGA)

Data for a relaxed ZnPbSe2 crystal.

- E (eV per atom) = -3.18

Geometry as POSCAR:
```
ZnPbSe2
1.0
-2.356 -3.482 -0.355
4.001 0.367 -1.288
2.464 -2.378 6.980
Pb Se Zn
1 2 1
Direct
0.500 0.500 0.750
0.000 0.000 0.036
0.000 0.000 0.464
0.500 0.500 0.250
```